CePr3Sn4 PBE relaxed; DFT total energy = -5.0599 eV/atom; formation energy from the elements = -524 meV/atom; space group = Immm, No. 71
1.0
3.695 0.000 0.000
0.000 7.262 -0.859
-1.848 -2.530 9.731
Pr Sn Ce
3 4 1
Cartesian
0.000 0.472 3.991
1.848 4.260 4.881
0.000 3.631 -0.429
1.848 2.410 2.134
0.000 2.322 6.738
0.000 -0.684 7.094
1.848 5.416 1.778
1.848 0.000 0.000